TiMn2Co | Alexandria via LeMat-Bulk | PBE-GGA | optimized geometry; symmetry = I-42d; ΔH_f (0 K) = 1.34 eV/f.u.
1.0
-2.089 5.695 -2.649
-2.831 -3.346 -4.961
-4.593 1.010 -2.476
Mn Ti Co
4 2 2
Cartesian
-7.833 2.715 -8.662
-2.869 3.561 -2.973
-3.117 -1.294 -3.973
-5.207 1.737 -4.565
-2.460 1.175 -3.805
-4.942 -0.581 -5.621
-4.571 3.940 -4.465
0.000 0.000 0.000